A plane-wave DFT calculation with GGA-PBE was carried out for Rb2YBiTe4 after structural relaxation.

Calculated values
Final energy   -4.111 eV per atom

Lattice parameters (Å, degrees): 7.9966 4.5579 8.9437 90.00 106.88 90.00
With the nearest neighbours (Å) after each atom.
Space group P2/m (No. 10)
Asymmetric unit:
1 Rb 0.0000 0.0000 0.0000 x1  6 Te 3.66-3.67
2 Rb 0.5000 0.5000 0.0000 x1  6 Te 3.71
3 Y 0.0000 0.5000 0.5000 x1  6 Te 3.12-3.13
4 Bi 0.5000 0.0000 0.5000 x1  6 Te 3.18
5 Te 0.2286 0.0000 0.6994 x2  2 Y 3.13, 1 Bi 3.18
6 Te 0.2606 0.5000 0.2987 x2  1 Y 3.12, 2 Bi 3.18

=====

A plane-wave DFT calculation with GGA-PBE was carried out for CsNaI2 after structural relaxation.

Calculated values
E above lowest polymorph   0.37 eV/f.u.

Lattice parameters (Å, degrees): 4.3285 4.3285 8.9300 90.00 90.00 90.00
With the nearest neighbours (Å) after each atom.
Space group P4/mmm (No. 123)
Asymmetric unit:
1 Cs 0.0000 0.0000 0.0000 x1  8 I 3.93, 4 Cs 4.33
2 Na 0.0000 0.0000 0.5000 x1  8 I 3.65
3 I 0.5000 0.5000 0.2768 x2  4 Na 3.65, 4 Cs 3.93, 1 I 3.99